(1)
VASP calculation (PBE) on a relaxed BaNiW crystal.

Cell: 4.2241 4.8384 9.1649 Å, 90.00 90.08 90.00°
Fractional coordinates of all 6 atoms:
1 Ba 0.0000 0.0000 0.0000
2 Ba 0.4998 0.5000 0.4137
3 Ni 0.5011 0.2453 0.7515
4 Ni 0.5011 0.7547 0.7515
5 W 0.0005 0.0000 0.6326
6 W 0.0010 0.5000 0.7141

Properties
The crystal system is monoclinic. As for the mass density: 6735 kg/m³. The offset from the most stable computed form is 14.1 kJ per mole of atoms.


(2)
VASP calculation (PBE) on a relaxed Li4SnSb2 crystal.

Cell: 5.1012 5.1012 13.9967 Å, 90.00 90.00 90.00°
Fractional coordinates of all 14 atoms:
1 Li 0.0000 0.0000 0.1925
2 Li 0.0000 0.0000 0.8075
3 Li 0.0000 0.5000 0.0000
4 Li 0.0000 0.5000 0.5000
5 Li 0.5000 0.0000 0.0000
6 Li 0.5000 0.0000 0.5000
7 Li 0.5000 0.5000 0.3075
8 Li 0.5000 0.5000 0.6925
9 Sn 0.0000 0.0000 0.0000
10 Sn 0.5000 0.5000 0.5000
11 Sb 0.0000 0.0000 0.3941
12 Sb 0.0000 0.0000 0.6059
13 Sb 0.5000 0.5000 0.1059
14 Sb 0.5000 0.5000 0.8941

Properties
The crystal system is tetragonal. As for the mass density: 3556 kg/m³. The offset from the most stable computed form is 41.2 kJ per mole of atoms. The calculation puts the formation energy from raw total energies at -0.022 eV/atom.


(3)
VASP calculation (PBE) on a relaxed Mg4Sc3Au4 crystal.

Cell: 9.2463 9.2463 9.2463 Å, 158.41 128.36 56.60°
Fractional coordinates of all 11 atoms:
1 Mg 0.0229 0.8358 0.1871
2 Mg 0.3513 0.1642 0.1871
3 Mg 0.6487 0.8358 0.8129
4 Mg 0.9771 0.1642 0.8129
5 Sc 0.0000 0.5000 0.5000
6 Sc 0.3990 0.3990 0.0000
7 Sc 0.6010 0.6010 0.0000
8 Au 0.2593 0.7593 0.5000
9 Au 0.2936 0.0000 0.2936
10 Au 0.7064 0.0000 0.7064
11 Au 0.7407 0.2407 0.5000

Properties
The crystal system is orthorhombic. As for the mass density: 7459 kg/m³. The electronic total energy comes out at -4.081 eV per atom.


(4)
VASP calculation (PBE) on a relaxed Mn2CoOsRu crystal.

Cell: 4.6316 4.6316 4.6157 Å, 90.00 90.00 90.00°
Fractional coordinates of all 5 atoms:
1 Mn 0.0000 0.5000 0.0000
2 Mn 0.5000 0.0000 0.0000
3 Co 0.0000 0.0000 0.5000
4 Os 0.5000 0.5000 0.5000
5 Ru 0.5000 0.5000 0.0000

Properties
The crystal system is tetragonal. As for the mass density: 7716 kg/m³. The electronic total energy comes out at -7.419 eV per atom.


(5)
VASP calculation (PBE) on a relaxed Eu3BiS crystal.

Cell: 5.5149 5.5149 5.5149 Å, 90.00 90.00 90.00°
Fractional coordinates of all 5 atoms:
1 Eu 0.0000 0.0000 0.5000
2 Eu 0.0000 0.5000 0.0000
3 Eu 0.5000 0.0000 0.0000
4 Bi 0.5000 0.5000 0.5000
5 S 0.0000 0.0000 0.0000

Properties
The crystal system is cubic. As for the mass density: 6900 kg/m³. The calculation puts the formation energy from raw total energies at -1.145 eV/atom.


(6)
VASP calculation (PBE) on a relaxed TbMgScIn crystal.

Cell: 7.3255 7.3255 7.3255 Å, 90.00 90.00 90.00°
Fractional coordinates of all 16 atoms:
1 Tb 0.0000 0.0000 0.0000
2 Tb 0.0000 0.5000 0.5000
3 Tb 0.5000 0.0000 0.5000
4 Tb 0.5000 0.5000 0.0000
5 Mg 0.2500 0.2500 0.7500
6 Mg 0.2500 0.7500 0.2500
7 Mg 0.7500 0.2500 0.2500
8 Mg 0.7500 0.7500 0.7500
9 Sc 0.0000 0.0000 0.5000
10 Sc 0.0000 0.5000 0.0000
11 Sc 0.5000 0.0000 0.0000
12 Sc 0.5000 0.5000 0.5000
13 In 0.2500 0.2500 0.2500
14 In 0.2500 0.7500 0.7500
15 In 0.7500 0.2500 0.7500
16 In 0.7500 0.7500 0.2500

Properties
The crystal system is cubic. As for the mass density: 5796 kg/m³. The electronic total energy comes out at -4.128 eV per atom.


(7)
VASP calculation (PBE) on a relaxed Ba6InRh crystal.

Cell: 8.5087 13.2037 7.9690 Å, 90.00 104.80 90.00°
Fractional coordinates of all 16 atoms:
1 Ba 0.1909 0.1614 0.2471
2 Ba 0.1909 0.8386 0.2471
3 Ba 0.2382 0.5000 0.2071
4 Ba 0.2618 0.0000 0.7929
5 Ba 0.3091 0.3386 0.7529
6 Ba 0.3091 0.6614 0.7529
7 Ba 0.6909 0.3386 0.2471
8 Ba 0.6909 0.6614 0.2471
9 Ba 0.7382 0.0000 0.2071
10 Ba 0.7618 0.5000 0.7929
11 Ba 0.8091 0.1614 0.7529
12 Ba 0.8091 0.8386 0.7529
13 In 0.0000 0.5000 0.5000
14 In 0.5000 0.0000 0.5000
15 Rh 0.0000 0.0000 0.0000
16 Rh 0.5000 0.5000 0.0000

Properties
The crystal system is monoclinic. As for the mass density: 3997 kg/m³. The offset from the most stable computed form is 0.0 kJ per mole of atoms.


(8)
VASP calculation (PBE) on a relaxed Li2PbW crystal.

Cell: 3.9868 3.9868 9.1151 Å, 90.00 90.00 90.00°
Fractional coordinates of all 8 atoms:
1 Li 0.0000 0.5000 0.2500
2 Li 0.0000 0.5000 0.7500
3 Li 0.5000 0.0000 0.2500
4 Li 0.5000 0.0000 0.7500
5 Pb 0.0000 0.0000 0.0000
6 Pb 0.5000 0.5000 0.5000
7 W 0.0000 0.0000 0.5000
8 W 0.5000 0.5000 0.0000

Properties
The crystal system is tetragonal. As for the mass density: 9282 kg/m³. The electronic total energy comes out at -4.469 eV per atom.


(9)
VASP calculation (PBE) on a relaxed RbBPdN2 crystal.

Cell: 5.1738 5.1738 5.6649 Å, 90.00 90.00 90.00°
Fractional coordinates of all 5 atoms:
1 Rb 0.0000 0.0000 0.0000
2 B 0.5000 0.5000 0.5000
3 Pd 0.0000 0.0000 0.5000
4 N 0.0000 0.5000 0.0000
5 N 0.5000 0.0000 0.0000

Properties
The crystal system is tetragonal. As for the mass density: 2526 kg/m³. The calculation puts the formation energy from raw total energies at 3.349 eV/atom.


(10)
VASP calculation (PBE) on a relaxed Ho2UPaN4 crystal.

Cell: 5.9747 3.4453 6.0196 Å, 90.00 109.28 90.00°
Fractional coordinates of all 8 atoms:
1 Ho 0.0000 0.0000 0.0000
2 Ho 0.5000 0.5000 0.0000
3 U 0.0000 0.5000 0.5000
4 Pa 0.5000 0.0000 0.5000
5 N 0.2435 0.0000 0.7412
6 N 0.2488 0.5000 0.2576
7 N 0.7512 0.5000 0.7424
8 N 0.7565 0.0000 0.2588

Properties
The crystal system is monoclinic. As for the mass density: 12138 kg/m³. The calculation puts the formation energy from raw total energies at -1.587 eV/atom.


(11)
VASP calculation (PBE) on a relaxed Ce4Ru2Br3 crystal.

Cell: 4.0316 4.0316 18.4065 Å, 90.03 90.03 60.00°
Fractional coordinates of all 9 atoms:
1 Ce 0.0006 0.0006 0.2955
2 Ce 0.3336 0.3336 0.1276
3 Ce 0.6664 0.6664 0.8724
4 Ce 0.9994 0.9994 0.7045
5 Ru 0.3329 0.3329 0.7934
6 Ru 0.6671 0.6671 0.2066
7 Br 0.0000 0.0000 0.0000
8 Br 0.3341 0.3341 0.4032
9 Br 0.6659 0.6659 0.5968

Properties
The crystal system is monoclinic. As for the mass density: 6424 kg/m³. The calculation puts the formation energy from raw total energies at -0.961 eV/atom.


(12)
VASP calculation (PBE) on a relaxed NiGePt6 crystal.

Cell: 7.3484 7.0807 4.3540 Å, 75.83 69.11 35.06°
Fractional coordinates of all 8 atoms:
1 Ni 0.0000 0.0000 0.0000
2 Ge 0.5000 0.5000 0.5000
3 Pt 0.1139 0.1139 0.3861
4 Pt 0.2458 0.2458 0.7542
5 Pt 0.3861 0.3861 0.1139
6 Pt 0.6139 0.6139 0.8861
7 Pt 0.7542 0.7542 0.2458
8 Pt 0.8861 0.8861 0.6139

Properties
The crystal system is orthorhombic. As for the mass density: 17848 kg/m³. The electronic total energy comes out at -5.976 eV per atom.


no.,magnetization (μB per cell)
1,0.00
2,0.00
3,0.00
4,5.48
5,21.93
6,0.00
7,0.00
8,0.00
9,4.27
10,1.18
11,2.08
12,0.00